A plane-wave DFT calculation with PBE-GGA was carried out for an optimized crystal structure of BaAcAs2Pd5.

Values from the calculation:
Energy of formation   -674 meV per atom
Theoretical density   8.81 g/cm3
Spin magnetization   0.000 μB per formula unit
Fermi-level density of states   2.9 states/eV/f.u.
Electronic total energy   -47.36 eV per cell

a b c (Å): 4.759 4.759 8.704
angles (deg): 90.00 90.00 90.00
Space group P4/mmm (No. 123)
Unique sites:
Ba 0.000 0.000 0.000 (multiplicity 1)
Ac 0.000 0.000 0.500 (multiplicity 1)
As 0.500 0.500 0.319 (multiplicity 2)
Pd 0.000 0.500 0.242 (multiplicity 4)
Pd 0.500 0.500 0.000 (multiplicity 1)